## Ca4InSn8 (PBE-GGA)

Data for Ca4InSn8 after structural relaxation.

Cell: 4.4657 4.7030 17.8226 Å, 90.00 90.00 90.00°
Last column: nearest neighbours and their distance in Å.
Fractional coordinates of all 13 atoms:
Sn 0.0000 0.0000 0.7524  6 Sn 3.24-3.47, 4 Ca 3.38-3.44
Sn 0.0000 0.5000 0.9218  2 Sn 3.02, 4 Ca 3.28
Sn 0.5000 0.0000 0.6035  2 Sn 3.05, 4 Ca 3.25
Ca 0.5000 0.5000 0.4129  4 Sn 3.50, 4 In 3.58
Ca 0.0000 0.0000 0.0707  10 Sn 3.30-3.55
Ca 0.0000 0.5000 0.6116  10 Sn 3.24-3.44
Sn 0.0000 0.5000 0.2167  2 In 3.08, 4 Sn 3.24
In 0.0000 0.0000 0.3280  5 Sn 2.83-3.08
Ca 0.5000 0.0000 0.8945  10 Sn 3.28-3.44
Sn 0.5000 0.5000 0.7553  6 Sn 3.24-3.58, 4 Ca 3.40-3.42
Sn 0.0000 0.0000 0.4869  1 In 2.83, 2 Sn 3.05
Sn 0.5000 0.5000 0.0356  2 Sn 3.02, 4 Ca 3.30
Sn 0.5000 0.0000 0.2131  2 In 3.03, 4 Sn 3.24, 2 Ca 3.38

Calculated values
Its space group is Pmm2, No. 25. As for the formation energy: -8.52 kcal/mol of atoms.

=====

## SrCa2In2Sn2 (PBE-GGA)

Data for SrCa2In2Sn2 after structural relaxation.

Cell: 5.2922 5.2922 9.6477 Å, 74.08 74.08 60.00°
Last column: nearest neighbours and their distance in Å.
Fractional coordinates of all 7 atoms:
Sn 0.2579 0.2579 0.2264  3 In 3.10, 4 Ca 3.38-3.46
Ca 0.1346 0.1346 0.5961  3 In 3.25, 4 Sn 3.38-3.46, 3 Ca 3.53
In 0.4275 0.4275 0.7176  3 Sn 3.10, 3 Ca 3.25
Ca 0.8654 0.8654 0.4039  3 In 3.25, 4 Sn 3.38-3.46, 3 Ca 3.53
In 0.5725 0.5725 0.2824  3 Sn 3.10, 3 Ca 3.25
Sn 0.7421 0.7421 0.7736  3 In 3.10, 4 Ca 3.38-3.46
Sr 0.0000 0.0000 0.0000  6 Sn 3.69, 2 Ca 3.70, 6 In 4.00

Calculated values
Its space group is R-3m, No. 166. As for the formation energy: -8.40 kcal/mol of atoms.

=====

## CaTaIn2Sn (PBE-GGA)

Data for CaTaIn2Sn after structural relaxation.

Cell: 8.0811 7.4731 8.0811 Å, 90.00 90.00 90.00°
Last column: nearest neighbours and their distance in Å.
Fractional coordinates of all 5 atoms:
In 0.0000 0.0000 0.5000  2 Ta 4.04
Ta 0.0000 0.0000 0.0000  2 Ca 3.74, 4 In 4.04
In 0.5000 0.0000 0.0000  2 Ta 4.04
Sn 0.5000 0.5000 0.5000  8 In 5.50, 4 Ca 5.71
Ca 0.0000 0.5000 0.0000  2 Ta 3.74

Calculated values
Its space group is P4/mmm, No. 123. As for the formation energy: 54.68 kcal/mol of atoms.

=====

Computed values of ρ (unit: Mg/m³) for the preceding records, in sequence: 5.43 4.75 1.94.
Computed values of spin magnetization (unit: μB per cell) for the preceding records, in sequence: 0.0 0.0 2.8.